1.
Material: TaZnC3
Method: DFT, PBEsol
State: optimized geometry

The space group is Pm-3m (No. 221) and the conventional cell measures 4.154, 4.154 and 4.154 Å, with angles of 90.00, 90.00 and 90.00 degrees. Symmetry generates all atoms from Ta at (0.000, 0.000, 0.000), Zn at (0.500, 0.500, 0.500) and C at (0.000, 0.000, 0.500).


2.
Material: ZrTaC
Method: DFT, PBEsol
State: optimized geometry

The space group is P3m1 (No. 156) and the conventional cell measures 3.1726, 3.1726 and 5.1448 Å, with angles of 90.00, 90.00 and 120.00 degrees. Symmetry generates all atoms from Zr at (0.0000, 0.0000, 0.0000), Ta at (0.6667, 0.3333, 0.5041) and C at (0.3333, 0.6667, 0.7342).


3.
Material: ZrTaC2
Method: DFT, PBEsol
State: optimized geometry

The space group is R-3m (No. 166, hexagonal axes) and the conventional cell measures 3.2099, 3.2099 and 15.8196 Å, with angles of 90.00, 90.00 and 120.00 degrees. Symmetry generates all atoms from Zr at (0.0000, 0.0000, 0.0000), Ta at (0.0000, 0.0000, 0.5000) and C at (0.0000, 0.0000, 0.2454).


4.
Material: Zr2TaC
Method: DFT, PBEsol
State: optimized geometry

The space group is Cmm2 (No. 35) and the conventional cell measures 3.240, 5.052 and 8.202 Å, with angles of 90.00, 90.00 and 90.00 degrees. Symmetry generates all atoms from Zr at (0.000, 0.000, 0.000), Zr at (0.000, 0.500, 0.331), Ta at (0.000, 0.000, 0.635) and C at (0.000, 0.500, 0.805).


5.
Material: ZrTaC2
Method: DFT, PBEsol
State: optimized geometry

The space group is P4/mmm (No. 123) and the conventional cell measures 3.219, 3.219 and 4.535 Å, with angles of 90.00, 90.00 and 90.00 degrees. Symmetry generates all atoms from Zr at (0.000, 0.000, 0.000), Ta at (0.500, 0.500, 0.500), C at (0.000, 0.000, 0.500) and C at (0.500, 0.500, 0.000).


6.
Material: TbC2
Method: DFT, PBEsol
State: optimized geometry

The space group is I4/mmm (No. 139) and the conventional cell measures 3.635, 3.635 and 6.190 Å, with angles of 90.00, 90.00 and 90.00 degrees. Symmetry generates all atoms from Tb at (0.000, 0.000, 0.000) and C at (0.000, 0.000, 0.395).


7.
Material: Tb2C3
Method: DFT, PBEsol
State: optimized geometry

The space group is I-43d (No. 220) and the conventional cell measures 8.176, 8.176 and 8.176 Å, with angles of 90.00, 90.00 and 90.00 degrees. Symmetry generates all atoms from Tb at (0.051, 0.051, 0.051) and C at (0.000, 0.250, 0.293).


8.
Material: TcC
Method: DFT, PBEsol
State: optimized geometry

The space group is P6_3/mmc (No. 194) and the conventional cell measures 3.4676, 3.4676 and 4.3127 Å, with angles of 90.00, 90.00 and 120.00 degrees. Symmetry generates all atoms from Tc at (0.3333, 0.6667, 0.2500) and C at (0.3333, 0.6667, 0.7500).


Energy relative to the elements in eV per atom, matching the order above: 1.964 -0.586 -0.843 0.018 -0.802 -0.197 -0.313 0.392
Size of the total moment in μB per formula unit, matching the order above: 0.0 0.0 0.0 0.0 0.0 0.0 0.0 0.0
E in eV per cell, matching the order above: -33.2 -33.0 -132.9 -80.6 -44.1 -49.8 -324.1 -40.3